(1)
Here is crystalline Sm8MgAg2 at its relaxed geometry from Alexandria via LeMat-Bulk. Energies are from GGA-PBE.

Unit cell a=5.4549 b=8.5724 c=8.6024 alpha=118.85 beta=108.48 gamma=90.00
Closest atoms and distances in Å follow each position.
Fractional positions:
Sm1 0.0672 0.7268 0.1344  1 Ag 3.14, 3 Sm 3.34-3.36
Sm2 0.3157 0.0434 0.6314  1 Ag 3.10, 1 Mg 3.21, 4 Sm 3.31-3.34
Sm3 0.9328 0.2732 0.8656  1 Ag 3.14, 3 Sm 3.34-3.36
Sm4 0.5991 0.4629 0.1982  3 Ag 3.28-3.29, 1 Mg 3.44, 3 Sm 3.60
Sm5 0.6843 0.9566 0.3686  1 Ag 3.10, 1 Mg 3.21, 4 Sm 3.31-3.34
Sm6 0.4009 0.5371 0.8018  3 Ag 3.28-3.29, 1 Mg 3.44, 3 Sm 3.60
Sm7 0.1435 0.2025 0.2870  3 Ag 3.17-3.30, 2 Mg 3.44
Mg1 0.5000 0.0000 0.0000  8 Sm 3.21-3.44
Ag1 0.2278 0.6271 0.4556  8 Sm 3.10-3.30
Ag2 0.7722 0.3729 0.5444  8 Sm 3.10-3.30
Sm8 0.8565 0.7975 0.7130  3 Ag 3.17-3.30, 2 Mg 3.44

Properties
ΔE to the lowest computed polymorph = 0 meV/atom
Symmetry = C2/m
Spin magnetization = 0.0 μB per cell
Energy of formation = -87 kJ/mol of formula units

---

(2)
Here is crystalline Dy2Tm3Te6 at its relaxed geometry from Alexandria via LeMat-Bulk. Energies are from GGA-PBE.

Unit cell a=7.4724 b=7.4378 c=7.4367 alpha=80.29 beta=70.37 gamma=59.85
Closest atoms and distances in Å follow each position.
Fractional positions:
Tm1 0.0000 0.0000 0.0000  6 Te 3.02-3.11
Te1 0.5808 0.3221 0.2543  3 Tm 3.02-3.08, 2 Dy 3.07-3.08
Tm2 0.6713 0.6574 0.0000  6 Te 3.03-3.08
Te2 0.9029 0.6779 0.2543  3 Tm 3.02-3.08, 2 Dy 3.07-3.08
Te3 0.7385 0.0000 0.7503  3 Tm 3.04-3.11, 2 Dy 3.04
Tm3 0.3287 0.3426 0.0000  6 Te 3.03-3.08
Te4 0.2615 0.0000 0.2497  3 Tm 3.04-3.11, 2 Dy 3.04
Dy1 0.1635 0.6730 0.5000  6 Te 3.04-3.08
Te5 0.0971 0.3221 0.7457  3 Tm 3.02-3.08, 2 Dy 3.07-3.08
Te6 0.4192 0.6779 0.7457  3 Tm 3.02-3.08, 2 Dy 3.07-3.08
Dy2 0.8365 0.3270 0.5000  6 Te 3.04-3.08

Properties
Symmetry = C2/m
Spin magnetization = 0.0 μB per cell
E_form (uncorrected) = -1.347 eV/atom